DFT (PBE-GGA) results for crystalline KCr2Ag at its relaxed geometry.

Unit cell a=10.6856 b=10.6856 c=10.6856 alpha=17.14 beta=17.14 gamma=17.14
Last column: nearest neighbours and their distance in Å.
Positions (direct):
K  0.2500  0.2500  0.2500  6 K 3.19
Cr  0.4858  0.4858  0.4858  3 Ag 2.86, 6 Cr 3.19
Ag  0.7500  0.7500  0.7500  6 Cr 2.86, 6 Ag 3.19
Cr  0.0142  0.0142  0.0142  3 Ag 2.86, 6 Cr 3.19

Computed properties:
**ΔE_f**: 1.054 eV per atom